11
Lattice="2.9708 1.7152 7.8986 -2.9708 1.7152 7.8986 0.0000 -3.4304 7.8986" Properties=species:S:1:pos:R:3 comment="Rb2MnSe2O6 PBE+U optimized geometry" final_energy_ev_per_atom=-5.4915 magnetic_moment_mub_per_fu=5.000 dos_at_fermi_per_ev_cell=0.00 crystal_system=trigonal pbc="T T T"
Rb 0.0000 0.0000 5.4144
Rb 0.0000 0.0000 18.2813
Mn 0.0000 0.0000 11.8479
Se 0.0000 0.0000 1.9730
Se 0.0000 0.0000 21.7227
O -1.6053 -0.9268 13.1134
O 0.0000 -1.8536 10.5823
O -1.6053 0.9268 10.5823
O 1.6052 -0.9268 13.1134
O 0.0000 1.8536 13.1134
O 1.6053 0.9268 10.5823